Record 1
Density functional theory data (GGA-PBE) for a relaxed structure of MnCo2Os.

Geometry as POSCAR:
```
MnCo2Os
1.0
-0.957 -0.337 2.423
2.442 0.035 0.969
-0.416 6.925 0.798
Os Co Mn
1 2 1
Direct
0.500 0.500 0.750
0.000 0.000 0.498
0.000 0.000 0.002
0.500 0.500 0.250
```

Output
E_tot	-34.07	eV/cell
magnetic moment	3.93	μB per formula unit
formation energy	0.5	eV per formula unit

=====

Record 2
Density functional theory data (GGA-PBE) for a relaxed structure of Be2FeHg.

Geometry as POSCAR:
```
Be2FeHg
1.0
2.821 0.000 0.000
0.000 2.821 0.000
0.000 0.000 6.200
Fe Hg Be
1 1 2
Direct
0.000 0.000 0.437
0.500 0.500 0.772
0.000 0.000 0.061
0.500 0.500 0.231
```

Output
E_tot	-15.05	eV/cell
magnetic moment	2.31	μB per formula unit
formation energy	1.2	eV per formula unit

=====

Record 3
Density functional theory data (GGA-PBE) for a relaxed structure of Pu4TlHg2Au.

Geometry as POSCAR:
```
Pu4TlHg2Au
1.0
5.316 0.000 0.000
2.658 4.603 0.000
2.658 1.534 8.620
Pu Tl Hg Au
4 1 2 1
Direct
0.382 0.382 0.854
0.130 0.130 0.609
0.618 0.618 0.146
0.870 0.870 0.391
0.000 0.000 0.000
0.744 0.744 0.767
0.256 0.256 0.233
0.500 0.500 0.500
```

Output
E_tot	-64.64	eV/cell
magnetic moment	23.30	μB per formula unit
formation energy	-1.1	eV per formula unit

=====

Record 4
Density functional theory data (GGA-PBE) for a relaxed structure of TbHoRuPb.

Geometry as POSCAR:
```
TbHoRuPb
1.0
5.119 0.000 0.000
2.559 4.433 0.000
2.559 1.478 4.179
Ho Tb Ru Pb
1 1 1 1
Direct
0.250 0.250 0.250
0.750 0.750 0.750
0.500 0.500 0.500
0.000 0.000 0.000
```

Output
E_tot	-23.26	eV/cell
magnetic moment	0.00	μB per formula unit
formation energy	-1.1	eV per formula unit

=====

Record 5
Density functional theory data (GGA-PBE) for a relaxed structure of KPdO3.

Geometry as POSCAR:
```
KPdO3
1.0
4.012 0.000 0.000
0.000 4.012 0.000
0.000 0.000 4.012
Pd K O
1 1 3
Direct
0.000 0.000 0.000
0.500 0.500 0.500
0.500 0.000 0.000
0.000 0.500 0.000
0.000 0.000 0.500
```

Output
E_tot	-23.14	eV/cell
magnetic moment	2.04	μB per formula unit
E_form (uncorrected)	-9.13	kcal/mol of atoms

=====

Record 6
Density functional theory data (GGA-PBE) for a relaxed structure of LaEu2Dy.

Geometry as POSCAR:
```
LaEu2Dy
1.0
5.378 0.000 0.000
0.000 5.255 0.000
0.000 0.000 5.255
Eu La Dy
2 1 1
Direct
0.000 0.000 0.500
0.000 0.500 0.000
0.500 0.000 0.000
0.500 0.500 0.500
```

Output
E_tot	-29.63	eV/cell
magnetic moment	15.14	μB per formula unit
formation energy	0.4	eV per formula unit

=====

Record 7
Density functional theory data (GGA-PBE) for a relaxed structure of CdSeCl2.

Geometry as POSCAR:
```
CdSeCl2
1.0
3.231 -0.022 0.000
-0.616 3.172 0.000
0.000 0.000 11.125
Cl Cd Se
2 1 1
Direct
0.000 0.000 0.899
0.000 0.000 0.601
0.500 0.500 0.750
0.500 0.500 0.250
```

Output
E_tot	-9.05	eV/cell
magnetic moment	0.00	μB per formula unit
E_form (uncorrected)	-5.53	kcal/mol of atoms

=====

Record 8
Density functional theory data (GGA-PBE) for a relaxed structure of KLaZn2.

Geometry as POSCAR:
```
KLaZn2
1.0
3.587 0.030 0.000
-0.016 3.587 0.000
0.000 0.000 9.498
Zn K La
2 1 1
Direct
0.500 0.500 0.172
0.000 0.000 0.050
0.000 0.000 0.439
0.500 0.500 0.840
```

Output
E_tot	-8.22	eV/cell
magnetic moment	0.00	μB per formula unit
formation energy	0.4	eV per formula unit

=====

Record 9
Density functional theory data (GGA-PBE) for a relaxed structure of SrCdPd4.

Geometry as POSCAR:
```
SrCdPd4
1.0
-1.716 3.680 1.191
1.816 -1.368 6.846
6.916 3.587 -1.118
Pd Sr Cd
8 2 2
Direct
0.500 0.973 0.750
0.500 0.301 0.539
0.500 0.301 0.961
0.000 0.000 0.500
0.500 0.027 0.250
0.000 0.000 0.000
0.500 0.699 0.039
0.500 0.699 0.461
0.000 0.332 0.250
0.000 0.668 0.750
0.000 0.756 0.250
0.000 0.244 0.750
```

Output
E_tot	-50.24	eV/cell
magnetic moment	0.00	μB per formula unit
formation energy	-1.8	eV per formula unit

=====

Record 10
Density functional theory data (GGA-PBE) for a relaxed structure of Y2In2Cu.

Geometry as POSCAR:
```
Y2In2Cu
1.0
7.149 0.000 0.000
0.000 7.149 0.000
0.000 0.000 4.852
In Y Cu
4 4 2
Direct
0.856 0.644 0.000
0.144 0.356 0.000
0.644 0.144 0.000
0.356 0.856 0.000
0.833 0.333 0.500
0.167 0.667 0.500
0.333 0.167 0.500
0.667 0.833 0.500
0.000 0.000 0.000
0.500 0.500 0.000
```

Output
E_tot	-48.14	eV/cell
magnetic moment	0.00	μB per formula unit
formation energy	-1.6	eV per formula unit

=====

Record 11
Density functional theory data (GGA-PBE) for a relaxed structure of ThZn2GaNi4.

Geometry as POSCAR:
```
ThZn2GaNi4
1.0
-0.525 -3.611 -1.817
-0.795 -3.312 2.240
-8.576 -0.797 -0.511
Th Zn Ni Ga
1 2 4 1
Direct
0.000 0.000 0.000
0.238 0.238 0.287
0.762 0.762 0.713
0.132 0.132 0.605
0.597 0.597 0.209
0.868 0.868 0.395
0.403 0.403 0.791
0.500 0.500 0.500
```

Output
E_tot	-38.88	eV/cell
magnetic moment	0.00	μB per formula unit
formation energy	-2.8	eV per formula unit

=====

Record 12
Density functional theory data (GGA-PBE) for a relaxed structure of CaDy2Cd.

Geometry as POSCAR:
```
CaDy2Cd
1.0
3.745 0.000 0.000
0.000 3.745 0.000
0.000 0.000 9.044
Dy Cd Ca
2 1 1
Direct
0.000 0.000 0.200
0.000 0.000 0.800
0.500 0.500 0.000
0.500 0.500 0.500
```

Output
E_tot	-12.38	eV/cell
magnetic moment	0.00	μB per formula unit
formation energy	-0.3	eV per formula unit

=====

Question: Number 1 is which compound?
Answer: MnCo2Os